Record 1
{"formula": "Pm3Dy4Tm", "functional": "PBE-GGA", "state": "relaxed", "lattice": [[11.5661, 0.0000, 0.0000], [0.0000, 6.2130, 0.0000], [0.0000, 0.0000, 7.1835]], "species": ["Pm", "Pm", "Pm", "Pm", "Pm", "Pm", "Dy", "Dy", "Dy", "Dy", "Dy", "Dy", "Dy", "Dy", "Tm", "Tm"], "fractional_positions": [[0.0000, 0.1676, 0.0000], [0.2491, 0.4984, 0.4999], [0.2509, 0.5016, 0.9999], [0.5000, 0.8324, 0.5000], [0.7491, 0.5016, 0.9999], [0.7509, 0.4984, 0.4999], [0.0000, 0.1675, 0.5008], [0.0000, 0.6675, 0.2511], [0.2504, 0.0003, 0.2502], [0.2496, 0.9997, 0.7502], [0.5000, 0.3325, 0.7511], [0.5000, 0.8325, 0.0008], [0.7496, 0.0003, 0.2502], [0.7504, 0.9997, 0.7502], [0.0000, 0.6673, 0.7489], [0.5000, 0.3327, 0.2489]], "e_form_ev_per_atom": 0.001, "spacegroup": "Pmn2_1, No. 31", "total_magnetization_mub_per_fu": 0.0, "relative_energy_mev_per_atom": 0}

Record 2
{"formula": "TaAu3O", "functional": "PBE-GGA", "state": "relaxed", "lattice": [[5.1278, 0.0000, 0.0000], [0.0000, 5.1278, 0.0000], [0.0000, 0.0000, 5.1278]], "species": ["Ta", "Au", "Au", "Au", "O"], "fractional_positions": [[0.0000, 0.0000, 0.0000], [0.0000, 0.0000, 0.5000], [0.0000, 0.5000, 0.0000], [0.5000, 0.0000, 0.0000], [0.5000, 0.5000, 0.5000]], "spacegroup": "Pm-3m, No. 221", "total_magnetization_mub_per_fu": 0.0, "raw_formation_energy_ev_per_atom": 1.59, "relative_energy_mev_per_atom": 753}